# Sc2CoAuC | Alexandria via LeMat-Bulk | PBE-GGA | optimized geometry
# - ΔE_f (meV per atom) = -598
data_Sc2CoAuC
_chemical_formula_sum 'Sc2 Co1 Au1 C1'
_symmetry_space_group_name_H-M 'P 4/m m m'
_symmetry_Int_Tables_number 123
_symmetry_space_group_name_Hall '-P 4 2'
_cell_length_a 4.624
_cell_length_b 4.624
_cell_length_c 3.624
_cell_angle_alpha 90.00
_cell_angle_beta 90.00
_cell_angle_gamma 90.00
loop_
_atom_site_label
_atom_site_fract_x
_atom_site_fract_y
_atom_site_fract_z
Sc1 0.000 0.500 0.000
Co1 0.000 0.000 0.500
Au1 0.500 0.500 0.500
C1 0.000 0.000 0.000